No. 1
A relaxed structure of K3La2NdS6, computed with PBE.

Computed properties:
E_form (uncorrected), eV per atom: -1.90
VASP energy, eV/atom: -5.4546
Magnetic moment, μB/atom: 0.000
Space group: C2/m

CIF file:
```
data_K3La2NdS6
_symmetry_space_group_name_H-M 'P 1'
_symmetry_Int_Tables_number 1
_cell_length_a 7.3839
_cell_length_b 7.3839
_cell_length_c 7.7763
_cell_angle_alpha 99.11
_cell_angle_beta 99.11
_cell_angle_gamma 120.00
loop_
_symmetry_equiv_pos_as_xyz
'x,y,z'
loop_
_atom_site_label
_atom_site_type_symbol
_atom_site_fract_x
_atom_site_fract_y
_atom_site_fract_z
S1 S 0.6011 0.9307 0.7922
S2 S 0.7395 0.7395 0.2075
S3 S 0.0693 0.3989 0.2078
S4 S 0.9307 0.6011 0.7922
S5 S 0.3989 0.0693 0.2078
S6 S 0.2605 0.2605 0.7925
La1 La 0.3333 0.6667 0.0000
La2 La 0.6667 0.3333 0.0000
K1 K 0.1666 0.8334 0.5000
K2 K 0.8334 0.1666 0.5000
K3 K 0.5000 0.5000 0.5000
Nd1 Nd 0.0000 0.0000 0.0000
```


No. 2
A relaxed structure of K2LaNdS4, computed with PBE.

Computed properties:
E_form (uncorrected), eV per atom: -1.89
VASP energy, eV/atom: -5.4357
Magnetic moment, μB/atom: 0.000
Space group: P2/m

CIF file:
```
data_K2LaNdS4
_symmetry_space_group_name_H-M 'P 1'
_symmetry_Int_Tables_number 1
_cell_length_a 4.2456
_cell_length_b 7.3550
_cell_length_c 7.7783
_cell_angle_alpha 108.34
_cell_angle_beta 90.00
_cell_angle_gamma 90.00
loop_
_symmetry_equiv_pos_as_xyz
'x,y,z'
loop_
_atom_site_label
_atom_site_type_symbol
_atom_site_fract_x
_atom_site_fract_y
_atom_site_fract_z
K1 K 0.0000 0.5000 0.5000
K2 K 0.5000 0.0000 0.5000
La1 La 0.0000 0.0000 0.0000
S1 S 0.0000 0.2676 0.7926
S2 S 0.5000 0.2394 0.2079
S3 S 0.0000 0.7324 0.2074
S4 S 0.5000 0.7606 0.7921
Nd1 Nd 0.5000 0.5000 0.0000
```


No. 3
A relaxed structure of KLaNd4S8, computed with PBE.

Computed properties:
E_form (uncorrected), eV per atom: -1.93
VASP energy, eV/atom: -6.0795
Magnetic moment, μB/atom: 0.000
Space group: R3m

CIF file:
```
data_KLaNd4S8
_symmetry_space_group_name_H-M 'P 1'
_symmetry_Int_Tables_number 1
_cell_length_a 8.4789
_cell_length_b 8.4789
_cell_length_c 8.5553
_cell_angle_alpha 60.29
_cell_angle_beta 60.29
_cell_angle_gamma 60.00
loop_
_symmetry_equiv_pos_as_xyz
'x,y,z'
loop_
_atom_site_label
_atom_site_type_symbol
_atom_site_fract_x
_atom_site_fract_y
_atom_site_fract_z
Nd1 Nd 0.0040 0.0040 0.5038
Nd2 Nd 0.4881 0.0040 0.5038
Nd3 Nd 0.6255 0.6255 0.1235
Nd4 Nd 0.0040 0.4881 0.5038
La1 La 0.0035 0.0035 0.9896
S1 S 0.2357 0.7984 0.7302
S2 S 0.2339 0.2339 0.2982
S3 S 0.7555 0.2288 0.2603
S4 S 0.2357 0.2357 0.7302
S5 S 0.2288 0.7555 0.2603
S6 S 0.7574 0.7574 0.7278
S7 S 0.7555 0.7555 0.2603
S8 S 0.7984 0.2357 0.7302
K1 K 0.3740 0.3740 0.8780
```


No. 4
A relaxed structure of KLa2NdS4, computed with PBE.

Computed properties:
E_form (uncorrected), eV per atom: -1.96
VASP energy, eV/atom: -5.9846
Magnetic moment, μB/atom: 0.000
Space group: P2/m

CIF file:
```
data_KLa2NdS4
_symmetry_space_group_name_H-M 'P 1'
_symmetry_Int_Tables_number 1
_cell_length_a 4.1677
_cell_length_b 7.2239
_cell_length_c 7.3310
_cell_angle_alpha 70.85
_cell_angle_beta 90.00
_cell_angle_gamma 90.00
loop_
_symmetry_equiv_pos_as_xyz
'x,y,z'
loop_
_atom_site_label
_atom_site_type_symbol
_atom_site_fract_x
_atom_site_fract_y
_atom_site_fract_z
Nd1 Nd 0.5000 0.5000 0.0000
K1 K 0.0000 0.5000 0.5000
La1 La 0.5000 0.0000 0.5000
La2 La 0.0000 0.0000 0.0000
S1 S 0.5000 0.7625 0.2345
S2 S 0.0000 0.2486 0.2427
S3 S 0.5000 0.2375 0.7655
S4 S 0.0000 0.7514 0.7573
```